A geometry-optimized YVAgO4 structure, computed with GGA+U.

```
data_YVAgO4
_symmetry_space_group_name_H-M 'P 1'
_symmetry_Int_Tables_number 1
_cell_length_a 5.9965
_cell_length_b 6.1652
_cell_length_c 6.8505
_cell_angle_alpha 90.00
_cell_angle_beta 109.13
_cell_angle_gamma 90.00
loop_
_symmetry_equiv_pos_as_xyz
'x,y,z'
loop_
_atom_site_label
_atom_site_type_symbol
_atom_site_fract_x
_atom_site_fract_y
_atom_site_fract_z
O1 O 0.5205 0.2500 0.8182
V1 V 0.7397 0.2500 0.6852
O2 O 0.5096 0.2500 0.4292
O3 O 0.4795 0.7500 0.1818
Y1 Y 0.8169 0.7500 0.4621
O4 O 0.0558 0.9667 0.3236
O5 O 0.9442 0.0333 0.6764
Ag1 Ag 0.4739 0.7500 0.8734
O6 O 0.4904 0.7500 0.5708
Ag2 Ag 0.5261 0.2500 0.1266
V2 V 0.2603 0.7500 0.3148
Y2 Y 0.1831 0.2500 0.5379
O7 O 0.0558 0.5333 0.3236
O8 O 0.9442 0.4667 0.6764
```

Density = 4.33 g/cm³
Symmetry = P2_1/m (11)
Electronic total energy = -50.83 eV per formula unit
Calculated volume = 119.6 Å³/f.u.
Crystal system = monoclinic